[1]
4
Lattice="4.9990 0.0000 0.0000 0.0000 4.9990 0.0000 0.0000 0.0000 4.2287" Properties=species:S:1:pos:R:3 comment="SmCdSb2, relaxed, DFT PBE-GGA" polymorph_energy_mev_per_atom=48 dos_at_fermi_per_ev_cell=1.887 e_form_raw_ev_per_atom=-0.519 pbc="T T T"
Sm 0.0000 0.0000 0.0000
Cd 2.4995 2.4995 0.0000
Sb 0.0000 2.4995 2.1144
Sb 2.4995 0.0000 2.1144

=====

[2]
4
Lattice="2.2526 1.3005 6.8544 -2.2526 1.3005 6.8544 0.0000 -2.6010 6.8544" Properties=species:S:1:pos:R:3 comment="SmCdSb2, relaxed, DFT PBE-GGA" polymorph_energy_mev_per_atom=200 dos_at_fermi_per_ev_cell=2.558 e_form_raw_ev_per_atom=-0.367 pbc="T T T"
Sm 0.0000 0.0000 0.0000
Cd 0.0000 0.0000 10.2817
Sb 0.0000 0.0000 5.0622
Sb 0.0000 0.0000 15.5011

=====

[3]
16
Lattice="2.9173 -5.8414 0.0000 2.9173 5.8414 0.0000 0.0000 0.0000 15.0579" Properties=species:S:1:pos:R:3 comment="Sm5CdSb2, relaxed, DFT PBE-GGA" dos_at_fermi_per_ev_cell=14.490 e_form_raw_ev_per_atom=-0.375 pbc="T T T"
Sm 2.9173 4.9740 9.0574
Sm 2.9173 4.9740 13.5295
Sm 2.9173 1.4207 8.3367
Sm 2.9173 1.4207 14.2501
Sm 2.9173 1.3514 3.7645
Sm 2.9173 -1.3514 11.2934
Sm 2.9173 -1.4207 0.8078
Sm 2.9173 -1.4207 6.7211
Sm 2.9173 -4.9740 1.5284
Sm 2.9173 -4.9740 6.0005
Cd 2.9173 2.2981 11.2934
Cd 2.9173 -2.2981 3.7645
Sb 2.9173 3.5229 1.5372
Sb 2.9173 3.5229 5.9917
Sb 2.9173 -3.5229 9.0662
Sb 2.9173 -3.5229 13.5206

=====

[4]
12
Lattice="-2.7083 3.7607 8.1597 2.7083 -3.7607 8.1597 2.7083 3.7607 -8.1597" Properties=species:S:1:pos:R:3 comment="Sm6Cd5Sb, relaxed, DFT PBE-GGA" dos_at_fermi_per_ev_cell=12.938 e_form_raw_ev_per_atom=-0.435 pbc="T T T"
Sm 2.7083 1.8563 -2.6844
Sm 0.0000 1.8468 0.0000
Sm 2.7083 1.8563 2.6844
Sm 0.0000 1.9044 5.4753
Sm 0.0000 5.6746 0.0000
Sm 0.0000 1.9044 10.8440
Cd 0.0000 0.0000 2.9097
Cd 2.7083 0.0000 5.4360
Cd 0.0000 0.0000 8.1597
Cd 0.0000 3.7607 2.7236
Cd 0.0000 0.0000 13.4096
Sb 2.7083 0.0000 0.0000

=====

[5]
4
Lattice="2.1274 1.2282 7.0057 -2.1274 1.2282 7.0057 0.0000 -2.4565 7.0057" Properties=species:S:1:pos:R:3 comment="Cd2SnSb, relaxed, DFT PBE-GGA" polymorph_energy_mev_per_atom=48 dos_at_fermi_per_ev_cell=1.304 e_form_raw_ev_per_atom=0.110 pbc="T T T"
Cd 0.0000 0.0000 5.1919
Cd 0.0000 0.0000 15.8253
Sn 0.0000 0.0000 0.0000
Sb 0.0000 0.0000 10.5086

=====

[6]
5
Lattice="5.4844 0.0000 0.0000 0.0000 5.4844 0.0000 0.0000 0.0000 5.4844" Properties=species:S:1:pos:R:3 comment="CdSn3Sb, relaxed, DFT PBE-GGA" polymorph_energy_mev_per_atom=0 dos_at_fermi_per_ev_cell=2.582 e_form_raw_ev_per_atom=0.539 pbc="T T T"
Cd 0.0000 0.0000 0.0000
Sn 0.0000 0.0000 2.7422
Sn 0.0000 2.7422 0.0000
Sn 2.7422 0.0000 0.0000
Sb 2.7422 2.7422 2.7422

=====

[7]
4
Lattice="0.0000 3.7277 3.7277 3.7277 0.0000 3.7277 3.7277 3.7277 0.0000" Properties=species:S:1:pos:R:3 comment="Cd2SnSb, relaxed, DFT PBE-GGA" polymorph_energy_mev_per_atom=67 dos_at_fermi_per_ev_cell=2.345 e_form_raw_ev_per_atom=0.129 pbc="T T T"
Cd 1.8638 1.8638 1.8638
Cd 5.5915 5.5915 5.5915
Sn 0.0000 0.0000 0.0000
Sb 3.7277 3.7277 3.7277

=====

[8]
5
Lattice="5.5178 0.0000 0.0000 0.0000 5.5178 0.0000 0.0000 0.0000 5.5178" Properties=species:S:1:pos:R:3 comment="CdSnSb3, relaxed, DFT PBE-GGA" polymorph_energy_mev_per_atom=0 dos_at_fermi_per_ev_cell=4.533 e_form_raw_ev_per_atom=0.678 pbc="T T T"
Cd 0.0000 0.0000 0.0000
Sn 2.7589 2.7589 2.7589
Sb 0.0000 0.0000 2.7589
Sb 0.0000 2.7589 0.0000
Sb 2.7589 0.0000 0.0000

=====

[9]
5
Lattice="-2.3270 2.3270 7.4455 2.3270 -2.3270 7.4455 2.3270 2.3270 -7.4455" Properties=species:S:1:pos:R:3 comment="CdSn2Sb2, relaxed, DFT PBE-GGA" polymorph_energy_mev_per_atom=100 dos_at_fermi_per_ev_cell=1.608 e_form_raw_ev_per_atom=0.200 pbc="T T T"
Cd 0.0000 0.0000 0.0000
Sn 0.0000 0.0000 5.8298
Sn 0.0000 0.0000 9.0612
Sb 2.3270 0.0000 3.7227
Sb 0.0000 2.3270 3.7227

=====

[10]
7
Lattice="6.7934 -2.2277 0.0000 6.7934 2.2277 0.0000 -2.3648 0.0000 7.0686" Properties=species:S:1:pos:R:3 comment="Cd2Sn2Sb3, relaxed, DFT PBE-GGA" dos_at_fermi_per_ev_cell=2.638 e_form_raw_ev_per_atom=0.061 pbc="T T T"
Cd 1.9773 0.0000 0.2884
Cd 9.2448 0.0000 6.7802
Sn 4.1008 0.0000 3.9954
Sn 7.1213 0.0000 3.0732
Sb 1.1895 0.0000 4.8717
Sb 6.7934 0.0000 0.0000
Sb 10.0326 0.0000 2.1969

=====

[11]
8
Lattice="6.3900 0.0000 0.0000 0.0000 8.9398 0.0000 0.0000 0.0000 3.7598" Properties=species:S:1:pos:R:3 comment="Cd2SnSb, relaxed, DFT PBE-GGA" polymorph_energy_mev_per_atom=0 dos_at_fermi_per_ev_cell=4.123 e_form_raw_ev_per_atom=0.062 pbc="T T T"
Cd 1.5794 2.0918 0.0000
Cd 1.5794 6.8480 0.0000
Cd 4.8106 2.0918 0.0000
Cd 4.8106 6.8480 0.0000
Sn 0.0000 0.0000 1.8986
Sn 3.1950 0.0000 1.8621
Sb 1.7475 4.4699 1.8810
Sb 4.6425 4.4699 1.8810

=====

[12]
8
Lattice="2.4579 1.4191 14.4434 -2.4579 1.4191 14.4434 0.0000 -2.8382 14.4434" Properties=species:S:1:pos:R:3 comment="CdSn3Sb4, relaxed, DFT PBE-GGA" dos_at_fermi_per_ev_cell=3.019 e_form_raw_ev_per_atom=0.088 pbc="T T T"
Cd 0.0000 0.0000 0.0000
Sn 0.0000 0.0000 10.5618
Sn 0.0000 0.0000 21.4473
Sn 0.0000 0.0000 32.1040
Sb 0.0000 0.0000 7.6487
Sb 0.0000 0.0000 18.5460
Sb 0.0000 0.0000 29.2681
Sb 0.0000 0.0000 40.3564

=====

[13]
12
Lattice="4.0290 -7.0098 0.0000 4.0290 7.0098 0.0000 -2.8753 0.0000 7.9884" Properties=species:S:1:pos:R:3 comment="CdSn2Sb3, relaxed, DFT PBE-GGA" dos_at_fermi_per_ev_cell=4.861 e_form_raw_ev_per_atom=0.031 pbc="T T T"
Cd 2.5913 5.8147 3.9942
Cd 4.0290 -5.8147 0.0000
Sn 1.1064 3.5422 7.9202
Sn 2.4690 1.1596 3.9891
Sn 1.0313 -1.1596 7.9833
Sn 2.5441 -3.5422 3.9260
Sb -0.1837 1.1144 2.8588
Sb -1.6214 -1.1144 6.8530
Sb 3.8652 3.4889 2.8781
Sb 2.4678 1.1660 6.9604
Sb 3.9055 -1.1660 2.9663
Sb 2.4275 -3.4889 6.8723